# 1
# SCAN NiH2Pd, PBEsol geometry
data_NiH2Pd
_chemical_formula_sum 'Ni2 H4 Pd2'
_cell_length_a 4.9256
_cell_length_b 4.9256
_cell_length_c 4.9256
_cell_angle_alpha 132.74
_cell_angle_beta 132.74
_cell_angle_gamma 69.06
_space_group_name_H-M_alt 'P 1'
_space_group_IT_number 1
_space_group_name_Hall 'P 1'
loop_
_atom_site_label
_atom_site_fract_x
_atom_site_fract_y
_atom_site_fract_z
Ni1 0.0000 0.0000 0.0000
Ni2 0.7500 0.2500 0.5000
H1 0.0873 0.6250 0.9623
H2 0.3750 0.3373 0.4623
H3 0.6627 0.1250 0.0377
H4 0.8750 0.9127 0.5377
Pd1 0.2500 0.7500 0.5000
Pd2 0.5000 0.5000 0.0000
# - E: -13.992 eV per atom
# - SG: I-42d

=====

# 2
# SCAN PrNiSnH, PBEsol geometry
data_PrNiSnH
_chemical_formula_sum 'Pr4 Ni4 Sn4 H4'
_cell_length_a 7.1655
_cell_length_b 4.3560
_cell_length_c 8.4007
_cell_angle_alpha 90.00
_cell_angle_beta 90.00
_cell_angle_gamma 90.00
_space_group_name_H-M_alt 'P 1'
_space_group_IT_number 1
_space_group_name_Hall 'P 1'
loop_
_atom_site_label
_atom_site_fract_x
_atom_site_fract_y
_atom_site_fract_z
Pr1 0.0133 0.2500 0.1902
Pr2 0.4867 0.7500 0.6902
Pr3 0.5133 0.2500 0.3098
Pr4 0.9867 0.7500 0.8098
Ni1 0.2188 0.7500 0.4007
Ni2 0.2812 0.2500 0.9007
Ni3 0.7188 0.7500 0.0993
Ni4 0.7812 0.2500 0.5993
Sn1 0.1587 0.2500 0.5690
Sn2 0.3413 0.7500 0.0690
Sn3 0.6587 0.2500 0.9310
Sn4 0.8413 0.7500 0.4310
H1 0.0603 0.2500 0.9182
H2 0.4397 0.7500 0.4182
H3 0.5603 0.2500 0.5818
H4 0.9397 0.7500 0.0818
# - E: -25.378 eV per atom
# - SG: Pnma

=====

# 3
# SCAN ReNiH2, PBEsol geometry
data_ReNiH2
_chemical_formula_sum 'Re1 Ni1 H2'
_cell_length_a 3.5248
_cell_length_b 3.5248
_cell_length_c 3.5248
_cell_angle_alpha 60.00
_cell_angle_beta 60.00
_cell_angle_gamma 60.00
_space_group_name_H-M_alt 'P 1'
_space_group_IT_number 1
_space_group_name_Hall 'P 1'
loop_
_atom_site_label
_atom_site_fract_x
_atom_site_fract_y
_atom_site_fract_z
Re1 0.0000 0.0000 0.0000
Ni1 0.5000 0.5000 0.5000
H1 0.2500 0.2500 0.2500
H2 0.7500 0.7500 0.7500
# - E: -22.722 eV per atom
# - SG: Fm-3m